The following is a DFT calculation (GGA-PBE) of Be2Ge2Pd3 after structural relaxation.

Summary:
The value obtained for the electronic total energy is -4.892 eV per atom.

abc: 7.168 7.168 7.168
angles: 33.66 33.66 33.66
Fractional positions:
Be 0.000 0.000 0.000
Be 0.486 0.486 0.486
Ge 0.232 0.232 0.232
Ge 0.747 0.747 0.747
Pd 0.366 0.366 0.366
Pd 0.619 0.619 0.619
Pd 0.868 0.868 0.868

=====

The following is a DFT calculation (GGA-PBE) of KHfNO after structural relaxation.

Summary:
The energy above the most stable polymorph in this dataset comes out at 4.32 eV per formula unit. The value obtained for the electronic total energy is -6.927 eV per atom.

abc: 3.477 3.477 8.756
angles: 90.00 90.00 90.00
Fractional positions:
K 0.250 0.750 0.000
K 0.750 0.250 0.000
Hf 0.250 0.250 0.360
Hf 0.750 0.750 0.640
N 0.250 0.250 0.765
N 0.750 0.750 0.235
O 0.250 0.750 0.500
O 0.750 0.250 0.500

=====

The following is a DFT calculation (GGA-PBE) of BaZrAlSe3 after structural relaxation.

Summary:
The value obtained for the electronic total energy is -5.182 eV per atom.

abc: 8.130 8.130 9.813
angles: 90.00 90.00 152.22
Fractional positions:
Ba 0.231 0.769 0.750
Ba 0.769 0.231 0.250
Zr 0.000 0.000 0.000
Zr 0.000 0.000 0.500
Al 0.479 0.521 0.250
Al 0.521 0.479 0.750
Se 0.091 0.909 0.250
Se 0.373 0.627 0.049
Se 0.373 0.627 0.451
Se 0.627 0.373 0.549
Se 0.627 0.373 0.951
Se 0.909 0.091 0.750

=====

The following is a DFT calculation (GGA-PBE) of YCoTcSn after structural relaxation.

Summary:
The energy above the most stable polymorph in this dataset comes out at 0.00 eV per formula unit. The value obtained for the electronic total energy is -7.016 eV per atom.

abc: 4.644 4.644 4.644
angles: 60.00 60.00 60.00
Fractional positions:
Y 0.000 0.000 0.000
Co 0.750 0.750 0.750
Tc 0.250 0.250 0.250
Sn 0.500 0.500 0.500

=====

The following is a DFT calculation (GGA-PBE) of HfZr3Cu2 after structural relaxation.

Summary:
The value obtained for the electronic total energy is -7.316 eV per atom. For the formation energy, the calculation gives -0.1440 eV/atom.

abc: 3.215 3.215 11.177
angles: 90.00 90.00 90.00
Fractional positions:
Hf 0.000 0.000 0.000
Zr 0.000 0.000 0.307
Zr 0.500 0.500 0.499
Zr 0.500 0.500 0.811
Cu 0.000 0.000 0.653
Cu 0.500 0.500 0.147

=====

The following is a DFT calculation (GGA-PBE) of DyCuHgS3 after structural relaxation.

Summary:
The value obtained for the electronic total energy is -4.313 eV per atom.

abc: 6.501 6.501 10.442
angles: 90.00 90.00 145.70
Fractional positions:
Dy 0.000 0.000 0.000
Dy 0.000 0.000 0.500
Cu 0.473 0.527 0.750
Cu 0.527 0.473 0.250
Hg 0.244 0.756 0.250
Hg 0.756 0.244 0.750
S 0.092 0.908 0.750
S 0.360 0.640 0.577
S 0.360 0.640 0.923
S 0.640 0.360 0.077
S 0.640 0.360 0.423
S 0.908 0.092 0.250

=====

The following is a DFT calculation (GGA-PBE) of NdHoGa4Ir2 after structural relaxation.

Summary:
The value obtained for the electronic total energy is -5.614 eV per atom.

abc: 4.217 7.078 5.567
angles: 90.00 111.93 90.00
Fractional positions:
Nd 0.000 0.000 0.000
Ho 0.858 0.500 0.716
Ga 0.285 0.200 0.567
Ga 0.285 0.800 0.567
Ga 0.575 0.306 0.153
Ga 0.575 0.694 0.153
Ir 0.139 0.500 0.283
Ir 0.719 0.000 0.434

=====

The following is a DFT calculation (GGA-PBE) of ZrTcHg after structural relaxation.

Summary:
The energy above the most stable polymorph in this dataset comes out at 0.00 eV per formula unit. The value obtained for the electronic total energy is -5.876 eV per atom. For the formation energy, the calculation gives 0.5262 eV/atom.

abc: 4.562 4.562 4.562
angles: 60.00 60.00 60.00
Fractional positions:
Zr 0.000 0.000 0.000
Tc 0.750 0.750 0.750
Hg 0.500 0.500 0.500

=====

The following is a DFT calculation (GGA-PBE) of HoBeSi after structural relaxation.

Summary:
The value obtained for the electronic total energy is -4.132 eV per atom.

abc: 4.516 4.516 4.516
angles: 60.00 60.00 60.00
Fractional positions:
Ho 0.000 0.000 0.000
Be 0.750 0.750 0.750
Si 0.250 0.250 0.250

=====

The following is a DFT calculation (GGA-PBE) of ZrCu2Pb2 after structural relaxation.

Summary:
The energy above the most stable polymorph in this dataset comes out at 0.10 eV per formula unit. The value obtained for the electronic total energy is -4.357 eV per atom.

abc: 6.102 6.102 6.102
angles: 136.34 136.34 63.46
Fractional positions:
Zr 0.000 0.000 0.000
Cu 0.392 0.392 0.000
Cu 0.608 0.608 0.000
Pb 0.250 0.750 0.500
Pb 0.750 0.250 0.500

=====

The following is a DFT calculation (GGA-PBE) of AgSbC6N4O2F6 after structural relaxation.

Summary:
The value obtained for the electronic total energy is -6.455 eV per atom.

abc: 7.362 7.362 10.118
angles: 90.22 90.22 81.48
Fractional positions:
Ag 0.210 0.790 0.750
Ag 0.790 0.210 0.250
Sb 0.201 0.799 0.250
Sb 0.799 0.201 0.750
C 0.131 0.298 0.444
C 0.274 0.454 0.964
C 0.281 0.321 0.532
C 0.298 0.131 0.944
C 0.321 0.281 0.032
C 0.454 0.274 0.464
C 0.546 0.726 0.536
C 0.679 0.719 0.968
C 0.702 0.869 0.056
C 0.719 0.679 0.468
C 0.726 0.546 0.036
C 0.869 0.702 0.556
N 0.025 0.275 0.362
N 0.240 0.589 0.904
N 0.275 0.025 0.862
N 0.411 0.760 0.596
N 0.589 0.240 0.404
N 0.725 0.975 0.138
N 0.760 0.411 0.096
N 0.975 0.725 0.638
O 0.266 0.373 0.646
O 0.373 0.266 0.146
O 0.627 0.734 0.854
O 0.734 0.627 0.354
F 0.002 0.881 0.366
F 0.054 0.648 0.156
F 0.119 0.998 0.134
F 0.280 0.595 0.365
F 0.352 0.946 0.344
F 0.405 0.720 0.135
F 0.595 0.280 0.865
F 0.648 0.054 0.656
F 0.720 0.405 0.635
F 0.881 0.002 0.866
F 0.946 0.352 0.844
F 0.998 0.119 0.634

=====

The following is a DFT calculation (GGA-PBE) of ErTm2Lu4Fe2Te2 after structural relaxation.

Summary:
The value obtained for the electronic total energy is -5.454 eV per atom.

abc: 9.176 9.176 9.176
angles: 155.98 65.85 119.72
Fractional positions:
Er 0.000 0.000 0.000
Tm 0.444 0.581 0.863
Tm 0.718 0.581 0.137
Lu 0.059 0.371 0.688
Lu 0.081 0.731 0.350
Lu 0.382 0.731 0.650
Lu 0.684 0.371 0.312
Fe 0.302 0.067 0.235
Fe 0.832 0.067 0.765
Te 0.336 0.336 0.000
Te 0.732 0.232 0.500